Compound: TaNbVRu
Source: the Alexandria database
Functional: PBE-GGA
Structure: optimized geometry

Cell lengths 6.328, 6.328, 6.328 Å; angles 90.00, 90.00, 90.00 degrees
Sites, in units of the cell vectors:
Ta 0.000 0.000 0.000
Ta 0.000 0.500 0.500
Ta 0.500 0.000 0.500
Ta 0.500 0.500 0.000
Nb 0.000 0.000 0.500
Nb 0.000 0.500 0.000
Nb 0.500 0.000 0.000
Nb 0.500 0.500 0.500
V 0.250 0.250 0.250
V 0.250 0.750 0.750
V 0.750 0.250 0.750
V 0.750 0.750 0.250
Ru 0.250 0.250 0.750
Ru 0.250 0.750 0.250
Ru 0.750 0.250 0.250
Ru 0.750 0.750 0.750

density = 11165 kg/m3
magnetic moment = 0.00 Bohr magnetons per cell
DFT formation energy = -0.239 eV/atom
E_tot = -10.3183 eV per atom
energy above the lowest structure with this stoichiometry = 27 meV per atom

Compound: TaNbVRu
Source: the Alexandria database
Functional: PBE-GGA
Structure: optimized geometry

Cell lengths 3.152, 3.152, 6.398 Å; angles 90.00, 90.00, 90.00 degrees
Sites, in units of the cell vectors:
Ta 0.000 0.000 0.000
Nb 0.000 0.000 0.510
V 0.500 0.500 0.754
Ru 0.500 0.500 0.252

density = 11125 kg/m3
magnetic moment = 0.00 Bohr magnetons per cell
DFT formation energy = -0.266 eV/atom
E_tot = -10.3455 eV per atom
energy above the lowest structure with this stoichiometry = 0 meV per atom

Compound: TbNbRu2
Source: the Alexandria database
Functional: PBE-GGA
Structure: optimized geometry

Cell lengths 6.562, 6.562, 6.562 Å; angles 90.00, 90.00, 90.00 degrees
Sites, in units of the cell vectors:
Tb 0.000 0.000 0.000
Tb 0.000 0.500 0.500
Tb 0.500 0.000 0.500
Tb 0.500 0.500 0.000
Nb 0.000 0.000 0.500
Nb 0.000 0.500 0.000
Nb 0.500 0.000 0.000
Nb 0.500 0.500 0.500
Ru 0.250 0.250 0.250
Ru 0.250 0.250 0.750
Ru 0.250 0.750 0.250
Ru 0.250 0.750 0.750
Ru 0.750 0.250 0.250
Ru 0.750 0.250 0.750
Ru 0.750 0.750 0.250
Ru 0.750 0.750 0.750

density = 10672 kg/m3
magnetic moment = 0.00 Bohr magnetons per cell
DFT formation energy = -0.269 eV/atom
E_tot = -8.5818 eV per atom

Compound: TbNbRu2
Source: the Alexandria database
Functional: PBE-GGA
Structure: optimized geometry

Cell lengths 4.667, 4.667, 3.258 Å; angles 90.00, 90.00, 90.00 degrees
Sites, in units of the cell vectors:
Tb 0.000 0.000 0.000
Nb 0.500 0.500 0.000
Ru 0.000 0.500 0.500
Ru 0.500 0.000 0.500

density = 10620 kg/m3
magnetic moment = 0.00 Bohr magnetons per cell
DFT formation energy = -0.230 eV/atom
E_tot = -8.5430 eV per atom

Compound: TbNbRu2
Source: the Alexandria database
Functional: PBE-GGA
Structure: optimized geometry

Cell lengths 3.234, 3.234, 6.869 Å; angles 90.00, 90.00, 90.00 degrees
Sites, in units of the cell vectors:
Tb 0.000 0.000 0.000
Nb 0.000 0.000 0.500
Ru 0.500 0.500 0.281
Ru 0.500 0.500 0.719

density = 10493 kg/m3
magnetic moment = 0.00 Bohr magnetons per cell
DFT formation energy = -0.328 eV/atom
E_tot = -8.6409 eV per atom

Compound: TbNb2Ru3
Source: the Alexandria database
Functional: PBE-GGA
Structure: optimized geometry

Cell lengths 3.169, 3.169, 10.422 Å; angles 90.00, 90.00, 90.00 degrees
Sites, in units of the cell vectors:
Tb 0.000 0.000 0.000
Nb 0.000 0.000 0.341
Nb 0.000 0.000 0.659
Ru 0.500 0.500 0.200
Ru 0.500 0.500 0.500
Ru 0.500 0.500 0.800

density = 10279 kg/m3
magnetic moment = 0.00 Bohr magnetons per cell
DFT formation energy = -0.293 eV/atom
E_tot = -9.0590 eV per atom